# Ba4TmFe3O12 GGA+U optimized geometry
data_Ba4TmFe3O12
_chemical_formula_sum 'Ba4 Tm1 Fe3 O12'
_cell_length_a 7.094
_cell_length_b 7.094
_cell_length_c 7.094
_cell_angle_alpha 109.47
_cell_angle_beta 109.47
_cell_angle_gamma 109.47
_space_group_name_H-M_alt 'P 1'
_space_group_IT_number 1
loop_
_space_group_symop_operation_xyz
'x,y,z'
loop_
_atom_site_label
_atom_site_fract_x
_atom_site_fract_y
_atom_site_fract_z
Fe1 0.500 0.500 0.000
Fe2 0.000 0.500 0.500
Fe3 0.500 0.000 0.500
Ba1 0.500 0.000 0.000
Ba2 0.500 0.500 0.500
Ba3 0.000 0.500 0.000
Ba4 0.000 0.000 0.500
O1 0.500 0.250 0.750
O2 0.750 0.500 0.250
O3 0.000 0.733 0.733
O4 0.250 0.500 0.750
O5 0.750 0.250 0.500
O6 0.500 0.750 0.250
O7 0.733 0.000 0.733
O8 0.267 0.267 0.000
O9 0.267 0.000 0.267
O10 0.250 0.750 0.500
O11 0.000 0.267 0.267
O12 0.733 0.733 0.000
Tm1 0.000 0.000 0.000
# **Energy**: -6.524 eV per atom
# **Fermi-level density of states**: 0.513 states/eV per atom